Material: LiNp2GeO8
Method: DFT, PBE
State: optimized geometry

abc: 4.6861 4.6860 6.8121
angles: 90.00 90.00 89.72
Site moments in Bohr magnetons follow the coordinates.
Atoms (fractional coordinates):
Li (0.0000, 0.0000, 0.5000)  0.00
Np (0.5000, 0.5000, 0.7504)  1.75
Np (0.5000, 0.5000, 0.2496)  1.75
Ge (0.0000, 0.0000, 0.0000)  0.00
O (0.1941, 0.8058, 0.2152)  -0.06
O (0.7098, 0.7099, 0.0000)  -0.06
O (0.8059, 0.1942, 0.2152)  -0.06
O (0.8059, 0.1942, 0.7848)  -0.06
O (0.2902, 0.2901, 0.0000)  -0.06
O (0.1941, 0.8058, 0.7848)  -0.06
O (0.6895, 0.6896, 0.5000)  -0.07
O (0.3105, 0.3104, 0.5000)  -0.07

Calculated values
E_form (uncorrected)	-28.46	eV/f.u.
symmetry	Cmmm, No. 65
N(E_F)	6.055	states/eV per cell

=====

Material: Li2NpGeO8
Method: DFT, PBE
State: optimized geometry

abc: 5.7752 5.7752 5.7752
angles: 113.85 113.85 101.04
Site moments in Bohr magnetons follow the coordinates.
Atoms (fractional coordinates):
Li (0.7500, 0.2500, 0.5000)  0.00
Li (0.5000, 0.5000, 0.0000)  0.00
Np (0.2500, 0.7500, 0.5000)  -0.08
Ge (0.0000, 0.0000, 0.0000)  -0.05
O (0.3340, 0.0512, 0.2828)  0.44
O (0.3032, 0.5095, 0.2063)  0.16
O (0.3032, 0.0969, 0.7937)  0.16
O (0.7683, 0.0512, 0.7172)  0.44
O (0.9031, 0.6968, 0.2063)  0.16
O (0.9488, 0.2317, 0.2828)  0.44
O (0.9488, 0.6660, 0.7172)  0.44
O (0.4904, 0.6968, 0.7937)  0.16

Calculated values
E_form (uncorrected)	-17.90	eV/f.u.
symmetry	I-4m2, No. 119
N(E_F)	8.438	states/eV per cell

=====

Material: LiNpGeO6
Method: DFT, PBE
State: optimized geometry

abc: 5.2232 5.2232 9.4333
angles: 90.00 90.00 120.00
Atoms (fractional coordinates):
Li (0.0000, 0.0000, 0.0000)
Li (0.0000, 0.0000, 0.5000)
Np (0.6667, 0.3333, 0.2500)
Np (0.3333, 0.6667, 0.7500)
Ge (0.3333, 0.6667, 0.2500)
Ge (0.6667, 0.3333, 0.7500)
O (0.6346, 0.6510, 0.1384)
O (0.0163, 0.3654, 0.1384)
O (0.3654, 0.0163, 0.6384)
O (0.9837, 0.6346, 0.8616)
O (0.3490, 0.3654, 0.3616)
O (0.0163, 0.6510, 0.3616)
O (0.6510, 0.0163, 0.8616)
O (0.6346, 0.9837, 0.3616)
O (0.9837, 0.3490, 0.6384)
O (0.3490, 0.9837, 0.1384)
O (0.6510, 0.6346, 0.6384)
O (0.3654, 0.3490, 0.8616)

Calculated values
E_form (uncorrected)	-18.01	eV/f.u.
symmetry	P-31c, No. 163

=====

Material: LiNpGeOs
Method: DFT, PBE
State: optimized geometry

abc: 4.5754 4.5754 4.5754
angles: 60.00 60.00 60.00
Site moments in Bohr magnetons follow the coordinates.
Atoms (fractional coordinates):
Np (0.0000, 0.0000, 0.0000)  3.36
Ge (0.5000, 0.5000, 0.5000)  -0.01
Os (0.2500, 0.2500, 0.2500)  -0.19
Li (0.7500, 0.7500, 0.7500)  0.04

Calculated values
ΔH_f (0 K)	0.07	eV/atom
symmetry	F-43m, No. 216
N(E_F)	9.258	states/eV per cell

=====

Material: LiNpGe2Pt4
Method: DFT, PBE
State: optimized geometry

abc: 4.2825 4.2825 8.8086
angles: 75.93 75.93 60.00
Site moments in Bohr magnetons follow the coordinates.
Atoms (fractional coordinates):
Li (0.5000, 0.5000, 0.5000)  0.00
Np (0.0000, 0.0000, 0.0000)  3.52
Ge (0.7607, 0.7607, 0.7180)  -0.01
Ge (0.2393, 0.2393, 0.2820)  -0.01
Pt (0.3993, 0.3993, 0.8020)  -0.09
Pt (0.8654, 0.8654, 0.4038)  -0.04
Pt (0.1346, 0.1346, 0.5962)  -0.04
Pt (0.6007, 0.6007, 0.1980)  -0.09

Calculated values
ΔH_f (0 K)	-0.54	eV/atom
symmetry	R-3m, No. 166
N(E_F)	12.250	states/eV per cell

=====

Material: LiNpGePt
Method: DFT, PBE
State: optimized geometry

abc: 4.6744 4.6744 4.6744
angles: 60.00 60.00 60.00
Site moments in Bohr magnetons follow the coordinates.
Atoms (fractional coordinates):
Np (0.7500, 0.7500, 0.7500)  3.79
Ge (0.2500, 0.2500, 0.2500)  -0.04
Pt (0.5000, 0.5000, 0.5000)  -0.07
Li (0.0000, 0.0000, 0.0000)  0.06

Calculated values
ΔH_f (0 K)	-0.36	eV/atom
symmetry	F-43m, No. 216
N(E_F)	3.011	states/eV per cell

=====

Material: LiNpGeRh
Method: DFT, PBE
State: optimized geometry

abc: 4.5904 4.5904 4.5904
angles: 60.00 60.00 60.00
Site moments in Bohr magnetons follow the coordinates.
Atoms (fractional coordinates):
Np (0.7500, 0.7500, 0.7500)  3.48
Ge (0.2500, 0.2500, 0.2500)  -0.08
Rh (0.0000, 0.0000, 0.0000)  -0.26
Li (0.5000, 0.5000, 0.5000)  0.04

Calculated values
ΔH_f (0 K)	-0.24	eV/atom
symmetry	F-43m, No. 216
N(E_F)	11.117	states/eV per cell

=====

Material: LiNp2Ge4Rh3
Method: DFT, PBE
State: optimized geometry

abc: 4.2321 4.2321 10.0630
angles: 90.00 90.00 90.00
Site moments in Bohr magnetons follow the coordinates.
Atoms (fractional coordinates):
Li (0.5000, 0.5000, 0.5000)  0.00
Np (0.5000, 0.0000, 0.2475)  3.78
Np (0.0000, 0.5000, 0.7525)  3.78
Ge (0.5000, 0.5000, 0.0000)  -0.01
Ge (0.0000, 0.0000, 0.0000)  -0.01
Ge (0.5000, 0.0000, 0.6313)  -0.02
Ge (0.0000, 0.5000, 0.3687)  -0.02
Rh (0.0000, 0.0000, 0.5000)  -0.01
Rh (0.5000, 0.0000, 0.8717)  -0.07
Rh (0.0000, 0.5000, 0.1283)  -0.07

Calculated values
ΔH_f (0 K)	-0.42	eV/atom
symmetry	P-4m2, No. 115
N(E_F)	23.819	states/eV per cell

=====

Material: LiNpGeS4
Method: DFT, PBE
State: optimized geometry

abc: 7.6264 7.7776 7.7776
angles: 61.31 60.64 60.64
Site moments in Bohr magnetons follow the coordinates.
Atoms (fractional coordinates):
Li (0.6347, 0.6153, 0.1153)  0.00
Li (0.3653, 0.3847, 0.8847)  0.00
Np (0.0000, 0.0000, 0.0000)  2.62
Np (0.0000, 0.5000, 0.5000)  2.62
Ge (0.5000, 0.0000, 0.5000)  -0.04
Ge (0.0000, 0.0000, 0.5000)  -0.04
S (0.7683, 0.7460, 0.7175)  -0.12
S (0.2317, 0.7825, 0.7540)  -0.12
S (0.7683, 0.2175, 0.2460)  -0.12
S (0.2317, 0.2540, 0.2825)  -0.12
S (0.2254, 0.7573, 0.2573)  -0.10
S (0.7600, 0.7573, 0.2573)  -0.10
S (0.2400, 0.2427, 0.7427)  -0.10
S (0.7746, 0.2427, 0.7427)  -0.10

Calculated values
E_form (uncorrected)	-6.27	eV/f.u.
symmetry	Imma, No. 74
N(E_F)	10.235	states/eV per cell

=====

Material: LiNpGeSb
Method: DFT, PBE
State: optimized geometry

abc: 5.0084 5.0084 5.0084
angles: 60.00 60.00 60.00
Site moments in Bohr magnetons follow the coordinates.
Atoms (fractional coordinates):
Np (0.0000, 0.0000, 0.0000)  3.82
Sb (0.7500, 0.7500, 0.7500)  -0.01
Ge (0.2500, 0.2500, 0.2500)  0.00
Li (0.5000, 0.5000, 0.5000)  0.00

Calculated values
E_form (uncorrected)	-0.47	eV/f.u.
symmetry	F-43m, No. 216
N(E_F)	11.082	states/eV per cell

=====

Material: LiNpSnGe
Method: DFT, PBE
State: optimized geometry

abc: 4.9864 4.9864 4.9864
angles: 60.00 60.00 60.00
Site moments in Bohr magnetons follow the coordinates.
Atoms (fractional coordinates):
Np (0.0000, 0.0000, 0.0000)  3.69
Ge (0.7500, 0.7500, 0.7500)  -0.04
Sn (0.2500, 0.2500, 0.2500)  -0.03
Li (0.5000, 0.5000, 0.5000)  -0.01

Calculated values
ΔH_f (0 K)	-0.05	eV/atom
symmetry	F-43m, No. 216
N(E_F)	8.952	states/eV per cell

=====

Material: Li2NpGeTe4
Method: DFT, PBE
State: optimized geometry

abc: 4.3233 7.5580 7.2695
angles: 109.59 90.00 90.00
Site moments in Bohr magnetons follow the coordinates.
Atoms (fractional coordinates):
Li (0.5000, 0.0000, 0.5000)  0.00
Li (0.0000, 0.5000, 0.5000)  -0.01
Np (0.0000, 0.0000, 0.0000)  3.57
Ge (0.5000, 0.5000, 0.0000)  -0.02
Te (0.5000, 0.2559, 0.2528)  -0.10
Te (0.5000, 0.7441, 0.7472)  -0.10
Te (0.0000, 0.2528, 0.7535)  -0.10
Te (0.0000, 0.7472, 0.2465)  -0.10

Calculated values
E_form (uncorrected)	-4.79	eV/f.u.
symmetry	P2/m, No. 10
N(E_F)	8.735	states/eV per cell

=====

Material: Li5GeO5
Method: DFT, PBE
State: optimized geometry

abc: 3.9694 5.1767 5.6939
angles: 106.89 90.00 112.54
Site moments in Bohr magnetons follow the coordinates.
Atoms (fractional coordinates):
Li (0.7072, 0.4143, 0.3361)  0.00
Li (0.6847, 0.3694, 0.8637)  0.00
Li (0.0000, 0.0000, 0.5000)  0.00
Li (0.3153, 0.6306, 0.1363)  0.00
Li (0.2928, 0.5857, 0.6639)  0.00
Ge (0.0000, 0.0000, 0.0000)  -0.02
O (0.8597, 0.7193, 0.1699)  0.12
O (0.8466, 0.6932, 0.6892)  0.17
O (0.5000, 0.0000, 0.0000)  0.24
O (0.1534, 0.3068, 0.3108)  0.17
O (0.1403, 0.2807, 0.8301)  0.12

Calculated values
E_form (uncorrected)	-19.30	eV/f.u.
symmetry	C2/m, No. 12
N(E_F)	4.587	states/eV per cell

=====

Material: Li4Ge9O20
Method: DFT, PBE
State: optimized geometry

abc: 7.4941 7.4941 7.5976
angles: 89.49 89.49 65.41
Atoms (fractional coordinates):
Li (0.3452, 0.0669, 0.3807)
Li (0.9331, 0.6548, 0.6193)
Li (0.3308, 0.6692, 0.0000)
Li (0.7163, 0.2837, 0.0000)
Ge (0.3475, 0.3503, 0.7100)
Ge (0.6497, 0.6525, 0.2900)
Ge (0.6065, 0.9212, 0.9505)
Ge (0.0788, 0.3935, 0.0495)
Ge (0.1171, 0.0837, 0.7603)
Ge (0.9163, 0.8829, 0.2397)
Ge (0.5090, 0.6812, 0.6694)
Ge (0.3188, 0.4910, 0.3306)
Ge (0.7663, 0.2337, 0.5000)
O (0.2180, 0.5586, 0.5451)
O (0.4414, 0.7820, 0.4549)
O (0.1474, 0.5045, 0.8703)
O (0.4955, 0.8526, 0.1297)
O (0.4545, 0.1613, 0.8847)
O (0.9141, 0.1071, 0.3183)
O (0.8929, 0.0859, 0.6817)
O (0.5212, 0.4664, 0.7856)
O (0.5336, 0.4788, 0.2144)
O (0.1571, 0.7085, 0.2011)
O (0.2915, 0.8429, 0.7989)
O (0.8085, 0.9649, 0.0301)
O (0.0351, 0.1915, 0.9699)
O (0.5241, 0.2414, 0.4988)
O (0.7586, 0.4759, 0.5012)
O (0.7902, 0.7932, 0.3872)
O (0.2068, 0.2098, 0.6128)
O (0.2457, 0.3131, 0.2311)
O (0.6869, 0.7543, 0.7689)
O (0.8387, 0.5455, 0.1153)

Calculated values
E_form (uncorrected)	-57.30	eV/f.u.
symmetry	C2, No. 5
N(E_F)	0.000	states/eV per cell

=====

Material: Li5GeO6
Method: DFT, PBE
State: optimized geometry

abc: 5.0520 5.1036 5.0827
angles: 59.86 80.01 69.78
Site moments in Bohr magnetons follow the coordinates.
Atoms (fractional coordinates):
Li (0.5000, 0.1832, 0.6335)  -0.01
Li (0.0000, 0.3313, 0.3374)  -0.01
Li (0.5000, 0.5000, 0.0000)  -0.01
Li (0.0000, 0.6687, 0.6626)  -0.01
Li (0.5000, 0.8168, 0.3665)  -0.01
Ge (0.0000, 0.0000, 0.0000)  -0.04
O (0.7651, 0.0788, 0.3052)  0.39
O (0.2349, 0.6160, 0.3052)  0.39
O (0.2292, 0.2279, 0.0000)  0.49
O (0.7708, 0.7721, 0.0000)  0.49
O (0.7651, 0.3840, 0.6948)  0.39
O (0.2349, 0.9212, 0.6948)  0.39

Calculated values
E_form (uncorrected)	-18.11	eV/f.u.
symmetry	C2/m, No. 12
N(E_F)	3.861	states/eV per cell

=====

Material: Li6Ge2O7
Method: DFT, PBE
State: optimized geometry

abc: 5.3698 8.1771 14.3868
angles: 93.16 90.00 90.00
Atoms (fractional coordinates):
Li (0.2899, 0.7969, 0.1960)
Li (0.7899, 0.7031, 0.3040)
Li (0.7101, 0.2031, 0.8040)
Li (0.2101, 0.2969, 0.6960)
Li (0.1289, 0.4631, 0.1160)
Li (0.6289, 0.0369, 0.3840)
Li (0.8711, 0.5369, 0.8840)
Li (0.3711, 0.9631, 0.6160)
Li (0.1679, 0.6300, 0.7564)
Li (0.6679, 0.8700, 0.7436)
Li (0.8529, 0.2763, 0.0159)
Li (0.3529, 0.2237, 0.4841)
Li (0.1471, 0.7237, 0.9841)
Li (0.6471, 0.7763, 0.5159)
Li (0.3055, 0.0512, 0.0430)
Li (0.8055, 0.4488, 0.4570)
Li (0.6945, 0.9488, 0.9570)
Li (0.1945, 0.5512, 0.5430)
Li (0.4858, 0.3004, 0.1210)
Li (0.9858, 0.1996, 0.3790)
Li (0.5142, 0.6996, 0.8790)
Li (0.0142, 0.8004, 0.6210)
Li (0.8321, 0.3700, 0.2436)
Li (0.3321, 0.1300, 0.2564)
Ge (0.6489, 0.6479, 0.0868)
Ge (0.1489, 0.8521, 0.4132)
Ge (0.3511, 0.3521, 0.9132)
Ge (0.8511, 0.1479, 0.5868)
Ge (0.8269, 0.0136, 0.1695)
Ge (0.3269, 0.4864, 0.3305)
Ge (0.1731, 0.9864, 0.8305)
Ge (0.6731, 0.5136, 0.6695)
O (0.2289, 0.3617, 0.2322)
O (0.7303, 0.9585, 0.6203)
O (0.2697, 0.0415, 0.3797)
O (0.7697, 0.4585, 0.1203)
O (0.1774, 0.1470, 0.5888)
O (0.6774, 0.3530, 0.9112)
O (0.7289, 0.1383, 0.2678)
O (0.3226, 0.6470, 0.0888)
O (0.7925, 0.3034, 0.6847)
O (0.2925, 0.1966, 0.8153)
O (0.2075, 0.6966, 0.3153)
O (0.7075, 0.8034, 0.1847)
O (0.7711, 0.6383, 0.7678)
O (0.2711, 0.8617, 0.7322)
O (0.2213, 0.2852, 0.0172)
O (0.7213, 0.2148, 0.4828)
O (0.7787, 0.7148, 0.9828)
O (0.2787, 0.7852, 0.5172)
O (0.6759, 0.0922, 0.0720)
O (0.1759, 0.4078, 0.4280)
O (0.3241, 0.9078, 0.9280)
O (0.8226, 0.8530, 0.4112)
O (0.1519, 0.9987, 0.1598)
O (0.6519, 0.5013, 0.3402)
O (0.8481, 0.0013, 0.8402)
O (0.3481, 0.4987, 0.6599)
O (0.2303, 0.5415, 0.8797)
O (0.8241, 0.5922, 0.5720)

Calculated values
E_form (uncorrected)	-29.65	eV/f.u.
symmetry	P2_1/c, No. 14
N(E_F)	0.000	states/eV per cell

=====

Material: Li2Ge4O9
Method: DFT, PBE
State: optimized geometry

abc: 4.6963 9.4551 16.1235
angles: 90.00 90.00 90.00
Atoms (fractional coordinates):
Li (0.4398, 0.5347, 0.2333)
Li (0.5602, 0.0347, 0.7667)
Li (0.4398, 0.0347, 0.2667)
Li (0.5602, 0.5347, 0.7333)
Li (0.5963, 0.7244, 0.0194)
Li (0.4037, 0.2244, 0.9806)
Li (0.5963, 0.2244, 0.4806)
Li (0.4037, 0.7244, 0.5194)
Ge (0.4823, 0.7645, 0.3439)
Ge (0.5177, 0.2645, 0.6561)
Ge (0.4823, 0.2645, 0.1561)
Ge (0.5177, 0.7645, 0.8439)
Ge (0.9871, 0.7662, 0.2040)
Ge (0.0129, 0.2662, 0.7960)
Ge (0.9871, 0.2662, 0.2960)
Ge (0.0129, 0.7662, 0.7040)
Ge (0.9980, 0.4745, 0.0985)
Ge (0.0020, 0.9745, 0.9015)
Ge (0.9980, 0.9745, 0.4015)
Ge (0.0020, 0.4745, 0.5985)
Ge (0.0245, 0.5548, 0.9057)
Ge (0.9755, 0.0548, 0.0943)
Ge (0.0245, 0.0548, 0.5943)
Ge (0.9755, 0.5548, 0.4057)
O (0.7061, 0.9302, 0.3392)
O (0.2939, 0.4302, 0.6608)
O (0.7061, 0.4302, 0.1608)
O (0.2939, 0.9302, 0.8392)
O (0.2541, 0.8476, 0.4305)
O (0.7459, 0.3476, 0.5695)
O (0.2541, 0.3476, 0.0695)
O (0.7459, 0.8476, 0.9305)
O (0.6985, 0.6761, 0.4290)
O (0.3015, 0.1761, 0.5710)
O (0.6985, 0.1761, 0.0710)
O (0.3015, 0.6761, 0.9290)
O (0.2436, 0.6030, 0.3354)
O (0.7564, 0.1030, 0.6646)
O (0.2436, 0.1030, 0.1646)
O (0.7564, 0.6030, 0.8354)
O (0.7070, 0.6831, 0.2578)
O (0.2930, 0.1831, 0.7422)
O (0.7070, 0.1831, 0.2422)
O (0.2930, 0.6831, 0.7578)
O (0.2447, 0.8553, 0.2629)
O (0.7553, 0.3553, 0.7371)
O (0.2447, 0.3553, 0.2371)
O (0.7553, 0.8553, 0.7629)
O (0.1660, 0.6279, 0.1453)
O (0.8340, 0.1279, 0.8547)
O (0.1660, 0.1279, 0.3547)
O (0.8340, 0.6279, 0.6453)
O (0.8437, 0.8825, 0.1249)
O (0.1563, 0.3825, 0.8751)
O (0.8437, 0.3825, 0.3751)
O (0.1563, 0.8825, 0.6249)
O (0.8435, 0.5416, 0.0043)
O (0.1565, 0.0416, 0.9957)
O (0.8435, 0.0416, 0.4957)
O (0.1565, 0.5416, 0.5043)

Calculated values
E_form (uncorrected)	-26.37	eV/f.u.
symmetry	Pca2_1, No. 29
N(E_F)	0.000	states/eV per cell

=====

Looking at M_tot for the records above, in order, we have 0.25; 0.23; 0.00; 0.84; 0.42; 1.00; 0.82; 0.78; 0.28; 1.00; 0.91; 0.38; 0.09; 0.00; 0.25; 0.00; 0.00 μB per atom.
Looking at total DFT energy (no corrections) for the records above, in order, we have -8.378; -6.579; -7.470; -7.605; -6.572; -6.736; -6.948; -7.248; -6.036; -6.016; -5.923; -4.843; -5.298; -6.232; -5.170; -5.671; -6.219 eV/atom.
Looking at calculated density for the records above, in order, we have 7.566; 5.138; 6.148; 12.426; 14.463; 11.764; 10.184; 9.952; 4.443; 8.194; 8.245; 6.188; 3.033; 4.287; 3.175; 3.148; 4.160 g cm⁻³.